Entry 1:
{"formula": "Mg2In2Cu", "functional": "PBE", "state": "optimized geometry", "polymorph_energy_ev_per_atom": 0.078, "space_group": "P4/mbm (127)", "delta_e_f_ev_per_atom": 0.045, "e_tot_ev_per_cell": -25.08, "dos_at_fermi_per_ev_atom": 0.362, "cell": [[6.9898, 0.0000, 0.0000], [0.0000, 6.9898, 0.0000], [0.0000, 0.0000, 4.5479]], "species": ["In", "Mg", "Mg", "Mg", "In", "In", "In", "Cu", "Cu", "Mg"], "frac_coords": [[0.1503, 0.3497, 0.0000], [0.8385, 0.3385, 0.5000], [0.1615, 0.6615, 0.5000], [0.6615, 0.8385, 0.5000], [0.6503, 0.1503, 0.0000], [0.8497, 0.6503, 0.0000], [0.3497, 0.8497, 0.0000], [0.0000, 0.0000, 0.0000], [0.5000, 0.5000, 0.0000], [0.3385, 0.1615, 0.5000]]}

Entry 2:
{"formula": "LiMo2As", "functional": "PBE", "state": "optimized geometry", "space_group": "Pm (6)", "delta_e_f_ev_per_atom": 0.074, "e_tot_ev_per_cell": -27.93, "dos_at_fermi_per_ev_atom": 0.564, "cell": [[-3.0312, 2.8632, 0.0762], [-1.8641, -1.9619, -0.4350], [-0.6388, -0.8193, 5.3798]], "species": ["Mo", "As", "Li", "Mo"], "frac_coords": [[0.5000, 0.4073, 0.2338], [0.0000, 0.2322, 0.5343], [0.5000, 0.7328, 0.7260], [0.0000, 0.1276, 0.0059]]}

Entry 3:
{"formula": "HgN3Cl", "functional": "PBE", "state": "optimized geometry", "e_form_raw_ev_per_fu": 13.92, "space_group": "Pm-3m (221)", "e_tot_ev_per_cell": -13.21, "dos_at_fermi_per_ev_atom": 0.497, "cell": [[3.9561, 0.0000, 0.0000], [0.0000, 3.9561, 0.0000], [0.0000, 0.0000, 3.9561]], "species": ["Cl", "N", "N", "Hg", "N"], "frac_coords": [[0.0000, 0.0000, 0.0000], [0.0000, 0.5000, 0.0000], [0.5000, 0.0000, 0.0000], [0.5000, 0.5000, 0.5000], [0.0000, 0.0000, 0.5000]]}

Entry 4:
{"formula": "MgOs", "functional": "PBE", "state": "optimized geometry", "space_group": "P-3m1 (164)", "delta_e_f_ev_per_atom": 0.180, "e_tot_ev_per_cell": -24.93, "dos_at_fermi_per_ev_atom": 0.482, "cell": [[2.8452, 0.0000, 0.0000], [-1.4226, 2.4640, 0.0000], [0.0000, 0.0000, 9.3820]], "species": ["Mg", "Os", "Os", "Mg"], "frac_coords": [[0.3333, 0.6667, 0.7711], [0.0000, 0.0000, 0.0166], [0.3333, 0.6667, 0.2334], [0.0000, 0.0000, 0.4789]]}

Entry 5:
{"formula": "CrMoPbS2", "functional": "PBE", "state": "optimized geometry", "e_form_raw_ev_per_fu": 2.61, "space_group": "P4/mmm (123)", "e_tot_ev_per_cell": -29.80, "dos_at_fermi_per_ev_atom": 1.106, "cell": [[4.5041, 0.0000, 0.0000], [0.0000, 4.8712, 0.0000], [0.0000, 0.0000, 4.5041]], "species": ["Mo", "S", "Cr", "Pb", "S"], "frac_coords": [[0.0000, 0.5000, 0.0000], [0.0000, 0.0000, 0.5000], [0.0000, 0.0000, 0.0000], [0.5000, 0.5000, 0.5000], [0.5000, 0.0000, 0.0000]]}

Entry 6:
{"formula": "Al2PbI8", "functional": "PBE", "state": "optimized geometry", "e_form_raw_ev_per_fu": -7.35, "polymorph_energy_ev_per_atom": 0.004, "space_group": "C2/m (12)", "e_tot_ev_per_cell": -30.94, "dos_at_fermi_per_ev_atom": 0.000, "cell": [[-3.9021, -0.4397, 6.0414], [1.4638, -8.8884, 1.5179], [7.0656, 0.0910, 5.7896]], "species": ["I", "Al", "I", "I", "I", "I", "I", "Pb", "I", "I", "Al"], "frac_coords": [[0.2437, 0.2918, 0.9279], [0.3417, 0.2005, 0.2005], [0.7563, 0.0721, 0.7082], [0.7563, 0.7082, 0.0721], [0.2437, 0.9279, 0.2918], [0.2983, 0.8010, 0.8010], [0.7017, 0.1990, 0.1990], [0.0000, 0.0000, 0.0000], [0.1960, 0.3714, 0.3714], [0.8040, 0.6286, 0.6286], [0.6583, 0.7995, 0.7995]]}

Entry 7:
{"formula": "Pr8Dy2Th", "functional": "PBE", "state": "optimized geometry", "space_group": "Cmmm (65)", "delta_e_f_ev_per_atom": 0.158, "e_tot_ev_per_cell": -53.12, "dos_at_fermi_per_ev_atom": 1.637, "cell": [[5.4916, 0.1440, -0.1050], [-0.2650, 8.3325, -2.3491], [0.1620, 0.0752, 8.6595]], "species": ["Pr", "Pr", "Pr", "Th", "Pr", "Pr", "Pr", "Pr", "Dy", "Pr", "Dy"], "frac_coords": [[0.9997, 0.7030, 0.9652], [0.4998, 0.6689, 0.6689], [0.9997, 0.9652, 0.7030], [0.5000, 0.0000, 0.0000], [0.5000, 0.2514, 0.7486], [0.0003, 0.2970, 0.0348], [0.5000, 0.7486, 0.2514], [0.5002, 0.3311, 0.3311], [0.0000, 0.3808, 0.6192], [0.0003, 0.0348, 0.2970], [0.0000, 0.6192, 0.3808]]}

Entry 8:
{"formula": "Li2LaTcPd", "functional": "PBE", "state": "optimized geometry", "space_group": "P4/mmm (123)", "delta_e_f_ev_per_atom": 0.221, "e_tot_ev_per_cell": -23.21, "dos_at_fermi_per_ev_atom": 0.962, "cell": [[4.5363, 0.0000, 0.0000], [0.0000, 5.0085, 0.0000], [0.0000, 0.0000, 4.5363]], "species": ["La", "Li", "Pd", "Li", "Tc"], "frac_coords": [[0.5000, 0.5000, 0.5000], [0.5000, 0.0000, 0.0000], [0.0000, 0.0000, 0.0000], [0.0000, 0.0000, 0.5000], [0.0000, 0.5000, 0.0000]]}

Entry 9:
{"formula": "Ca3Zn", "functional": "PBE", "state": "optimized geometry", "polymorph_energy_ev_per_atom": 0.055, "space_group": "Immm (71)", "delta_e_f_ev_per_atom": -0.071, "e_tot_ev_per_cell": -7.56, "dos_at_fermi_per_ev_atom": 1.040, "cell": [[-3.8956, 4.7702, -3.2369], [-2.0716, -1.0991, -6.5504], [-0.0320, -2.1009, 6.6327]], "species": ["Zn", "Ca", "Ca", "Ca"], "frac_coords": [[0.2500, 0.7500, 0.5000], [0.0498, 0.0498, 0.0000], [0.4502, 0.4502, 0.0000], [0.7500, 0.2500, 0.5000]]}

Entry 10:
{"formula": "AcPm2Co2", "functional": "PBE", "state": "optimized geometry", "polymorph_energy_ev_per_atom": 0.066, "space_group": "C2/m (12)", "delta_e_f_ev_per_atom": 0.030, "e_tot_ev_per_cell": -27.67, "dos_at_fermi_per_ev_atom": 1.122, "cell": [[-3.6637, 1.3047, -0.1869], [-1.8150, -4.6843, 2.8787], [3.0597, 3.3969, 4.2922]], "species": ["Pm", "Pm", "Ac", "Co", "Co"], "frac_coords": [[0.6507, 0.5880, 0.3013], [0.3493, 0.4120, 0.6987], [0.0000, 0.0000, 0.0000], [0.7299, 0.1019, 0.4599], [0.2701, 0.8981, 0.5401]]}

Entry 11:
{"formula": "LiTe2I", "functional": "PBE", "state": "optimized geometry", "e_form_raw_ev_per_fu": 0.90, "polymorph_energy_ev_per_atom": 0.673, "space_group": "Fm-3m (225)", "e_tot_ev_per_cell": -8.84, "dos_at_fermi_per_ev_atom": 1.992, "cell": [[3.1697, -4.4558, 0.5574], [0.1338, -2.6961, 4.7881], [-2.3006, -4.9744, 0.4182]], "species": ["Te", "Te", "Li", "I"], "frac_coords": [[0.2500, 0.2500, 0.2500], [0.7500, 0.7500, 0.7500], [0.0000, 0.0000, 0.0000], [0.5000, 0.5000, 0.5000]]}

Entry 12:
{"formula": "CdSnAs2", "functional": "PBE", "state": "optimized geometry", "polymorph_energy_ev_per_atom": 0.198, "space_group": "R3m (160)", "delta_e_f_ev_per_atom": 0.060, "e_tot_ev_per_cell": -13.98, "dos_at_fermi_per_ev_atom": 0.449, "cell": [[3.9894, 0.0000, 0.0000], [1.9947, 3.4549, 0.0000], [1.9947, 1.1516, 6.9515]], "species": ["Cd", "As", "As", "Sn"], "frac_coords": [[0.4978, 0.4978, 0.5065], [0.2526, 0.2526, 0.2423], [0.0829, 0.0829, 0.7512], [0.6667, 0.6667, 0.0000]]}

Entry 13:
{"formula": "Tb2DyInC", "functional": "PBE", "state": "optimized geometry", "space_group": "P4/mmm (123)", "delta_e_f_ev_per_atom": -0.487, "e_tot_ev_per_cell": -28.26, "dos_at_fermi_per_ev_atom": 0.338, "cell": [[-0.6526, -4.4493, 2.0059], [3.8318, 0.8058, 3.0340], [-3.0697, 1.9631, 3.3556]], "species": ["In", "C", "Dy", "Tb", "Tb"], "frac_coords": [[0.5000, 0.5000, 0.5000], [0.0000, 0.0000, 0.0000], [0.5000, 0.0000, 0.0000], [0.0000, 0.5000, 0.0000], [0.0000, 0.0000, 0.5000]]}

Entry 14:
{"formula": "Tm3Tl12Cd5", "functional": "PBE", "state": "optimized geometry", "space_group": "Ia-3d (230)", "delta_e_f_ev_per_atom": 0.232, "e_tot_ev_per_cell": -166.99, "dos_at_fermi_per_ev_atom": 0.622, "cell": [[15.2517, 0.0000, 0.0000], [-5.0839, 14.3795, 0.0000], [-5.0839, -7.1897, 12.4530]], "species": ["Tl", "Tl", "Cd", "Cd", "Cd", "Cd", "Tm", "Tl", "Tl", "Tl", "Tl", "Tm", "Tl", "Cd", "Tl", "Tl", "Cd", "Tl", "Tl", "Tl", "Cd", "Tl", "Tl", "Tl", "Tm", "Tl", "Tl", "Tl", "Cd", "Tl", "Tl", "Tl", "Tl", "Cd", "Tm", "Tl", "Tl", "Tl", "Tl", "Tm", "Tl", "Tl", "Tl", "Tl", "Tm", "Cd", "Tl", "Cd", "Tl", "Tm", "Tm", "Tl", "Tl", "Cd", "Tl", "Tl", "Tm", "Tl", "Cd", "Tl", "Cd", "Tl", "Tl", "Cd", "Tl", "Tl", "Tl", "Cd", "Tl", "Tl", "Cd", "Tl", "Cd", "Cd", "Cd", "Tm", "Tm", "Tl", "Tm", "Tl"], "frac_coords": [[0.0702, 0.1678, 0.4410], [0.8322, 0.9298, 0.0590], [0.2500, 0.3750, 0.6250], [0.5000, 0.5000, 0.5000], [0.3750, 0.2500, 0.1250], [0.0000, 0.5000, 0.0000], [0.7500, 0.3750, 0.1250], [0.3322, 0.7732, 0.4023], [0.5590, 0.3322, 0.9298], [0.1292, 0.4023, 0.0702], [0.4023, 0.1292, 0.5702], [0.3750, 0.7500, 0.6250], [0.3708, 0.9410, 0.7732], [0.5000, 0.0000, 0.5000], [0.9410, 0.3708, 0.2732], [0.5702, 0.9410, 0.6678], [0.5000, 0.0000, 0.0000], [0.2268, 0.5590, 0.6292], [0.9023, 0.8322, 0.7732], [0.7732, 0.3322, 0.9023], [0.0000, 0.0000, 0.0000], [0.2732, 0.8708, 0.9410], [0.0590, 0.4298, 0.8322], [0.8322, 0.9023, 0.2732], [0.7500, 0.8750, 0.6250], [0.7732, 0.4410, 0.3708], [0.9298, 0.0977, 0.8708], [0.4298, 0.3708, 0.5977], [0.7500, 0.1250, 0.8750], [0.8708, 0.5977, 0.9298], [0.5977, 0.7268, 0.6678], [0.7268, 0.1292, 0.0590], [0.4410, 0.7732, 0.8708], [0.8750, 0.2500, 0.6250], [0.2500, 0.1250, 0.3750], [0.5590, 0.2268, 0.1292], [0.3322, 0.5590, 0.4298], [0.9410, 0.5702, 0.1678], [0.9023, 0.0702, 0.6292], [0.6250, 0.3750, 0.7500], [0.5977, 0.8708, 0.4298], [0.0590, 0.6292, 0.7268], [0.1292, 0.7268, 0.5590], [0.1678, 0.0977, 0.7268], [0.2500, 0.6250, 0.8750], [0.8750, 0.6250, 0.7500], [0.2732, 0.4023, 0.8322], [0.1250, 0.3750, 0.2500], [0.6678, 0.2268, 0.5977], [0.1250, 0.2500, 0.8750], [0.3750, 0.6250, 0.2500], [0.6292, 0.0590, 0.2268], [0.8708, 0.2732, 0.4410], [0.0000, 0.5000, 0.5000], [0.6292, 0.5702, 0.9023], [0.4298, 0.0590, 0.3322], [0.6250, 0.2500, 0.3750], [0.1678, 0.0702, 0.9410], [0.5000, 0.5000, 0.0000], [0.5702, 0.6292, 0.4023], [0.3750, 0.1250, 0.7500], [0.2268, 0.6678, 0.0977], [0.6678, 0.4410, 0.5702], [0.1250, 0.7500, 0.3750], [0.4023, 0.2732, 0.3322], [0.3708, 0.4298, 0.0977], [0.0702, 0.9023, 0.1292], [0.0000, 0.0000, 0.5000], [0.7268, 0.5977, 0.1678], [0.0977, 0.9298, 0.3708], [0.7500, 0.6250, 0.3750], [0.4410, 0.6678, 0.0702], [0.6250, 0.7500, 0.8750], [0.2500, 0.8750, 0.1250], [0.6250, 0.8750, 0.2500], [0.8750, 0.1250, 0.2500], [0.1250, 0.8750, 0.7500], [0.9298, 0.8322, 0.5590], [0.8750, 0.7500, 0.1250], [0.0977, 0.1678, 0.2268]]}

Entry 15:
{"formula": "Na3Tb2PaTe6", "functional": "PBE", "state": "optimized geometry", "e_form_raw_ev_per_fu": -13.73, "space_group": "C2/m (12)", "e_tot_ev_per_cell": -55.30, "dos_at_fermi_per_ev_atom": 0.800, "cell": [[7.6357, -0.0018, 0.0011], [-3.8176, 6.6129, 0.0011], [-1.2723, -2.2029, 7.6364]], "species": ["Tb", "Te", "Tb", "Te", "Na", "Te", "Na", "Te", "Na", "Te", "Pa", "Te"], "frac_coords": [[0.3335, 0.6665, 0.0000], [0.7453, 0.7453, 0.2361], [0.6665, 0.3335, 0.0000], [0.5878, 0.9214, 0.7640], [0.8327, 0.1673, 0.5000], [0.0786, 0.4122, 0.2360], [0.5000, 0.5000, 0.5000], [0.4122, 0.0786, 0.2360], [0.1673, 0.8327, 0.5000], [0.9214, 0.5878, 0.7640], [0.0000, 0.0000, 0.0000], [0.2547, 0.2547, 0.7639]]}

Entry 16:
{"formula": "MgSc4Ga", "functional": "PBE", "state": "optimized geometry", "space_group": "C2/m (12)", "delta_e_f_ev_per_atom": -0.012, "e_tot_ev_per_cell": -30.02, "dos_at_fermi_per_ev_atom": 1.105, "cell": [[-1.6650, -2.7649, -0.3344], [3.4120, -3.7965, -1.3404], [1.1943, -3.6002, 8.0794]], "species": ["Sc", "Sc", "Ga", "Sc", "Mg", "Sc"], "frac_coords": [[0.8419, 0.9813, 0.3349], [0.6386, 0.5801, 0.1428], [0.0000, 0.0000, 0.0000], [0.1581, 0.0187, 0.6651], [0.5000, 0.5000, 0.5000], [0.3614, 0.4199, 0.8572]]}

Entry 17:
{"formula": "Sr2PPb4", "functional": "PBE", "state": "optimized geometry", "space_group": "Pbam (55)", "delta_e_f_ev_per_atom": -0.345, "e_tot_ev_per_cell": -52.04, "dos_at_fermi_per_ev_atom": 0.363, "cell": [[-2.4477, 1.5436, 3.3922], [-8.1201, -6.4639, -2.9177], [3.6541, -7.2747, 5.9470]], "species": ["Pb", "Sr", "Sr", "Pb", "Pb", "Pb", "P", "Sr", "P", "Pb", "Sr", "Pb", "Pb", "Pb"], "frac_coords": [[0.5000, 0.3729, 0.9356], [0.5000, 0.4168, 0.3208], [0.5000, 0.9168, 0.1792], [0.5000, 0.6271, 0.0644], [0.0000, 0.7340, 0.3892], [0.0000, 0.7660, 0.8892], [0.0000, 0.5000, 0.5000], [0.5000, 0.5832, 0.6792], [0.0000, 0.0000, 0.0000], [0.0000, 0.2660, 0.6108], [0.5000, 0.0832, 0.8208], [0.5000, 0.1271, 0.4356], [0.5000, 0.8729, 0.5644], [0.0000, 0.2340, 0.1108]]}

Entry 18:
{"formula": "Rb3LaNd2S6", "functional": "PBE", "state": "optimized geometry", "e_form_raw_ev_per_fu": -22.19, "space_group": "C2/m (12)", "e_tot_ev_per_cell": -64.32, "dos_at_fermi_per_ev_atom": 0.000, "cell": [[7.3760, -0.0011, 0.0005], [-3.6871, 6.3883, 0.0005], [-1.2298, -2.1294, 7.7100]], "species": ["La", "S", "S", "Rb", "S", "Rb", "Rb", "S", "S", "Nd", "Nd", "S"], "frac_coords": [[0.0000, 0.0000, 0.0000], [0.4027, 0.0658, 0.1974], [0.5973, 0.9342, 0.8026], [0.8333, 0.1667, 0.5000], [0.9342, 0.5973, 0.8026], [0.5000, 0.5000, 0.5000], [0.1667, 0.8333, 0.5000], [0.2712, 0.2712, 0.8025], [0.7288, 0.7288, 0.1975], [0.6667, 0.3333, 0.0000], [0.3333, 0.6667, 0.0000], [0.0658, 0.4027, 0.1974]]}

Entry 19:
{"formula": "Zr3CoMo", "functional": "PBE", "state": "optimized geometry", "space_group": "Pm-3m (221)", "delta_e_f_ev_per_atom": 1.151, "e_tot_ev_per_cell": -37.83, "dos_at_fermi_per_ev_atom": 1.886, "cell": [[4.9756, 0.0000, 0.0000], [0.0000, 4.9756, 0.0000], [0.0000, 0.0000, 4.9756]], "species": ["Mo", "Zr", "Co", "Zr", "Zr"], "frac_coords": [[0.0000, 0.0000, 0.0000], [0.5000, 0.0000, 0.0000], [0.5000, 0.5000, 0.5000], [0.0000, 0.0000, 0.5000], [0.0000, 0.5000, 0.0000]]}

Entry 20:
{"formula": "FeCo8Ni5", "functional": "PBE", "state": "optimized geometry", "space_group": "I-4 (82)", "delta_e_f_ev_per_atom": 0.269, "e_tot_ev_per_cell": -90.44, "dos_at_fermi_per_ev_atom": 1.200, "cell": [[-5.2154, 2.5050, 1.5010], [0.2722, -5.7442, 1.6303], [4.3713, 2.9520, 2.8117]], "species": ["Ni", "Co", "Co", "Ni", "Ni", "Co", "Co", "Ni", "Co", "Co", "Fe", "Co", "Ni", "Co"], "frac_coords": [[0.8340, 0.2618, 0.7872], [0.9889, 0.7723, 0.0891], [0.8121, 0.3770, 0.1791], [0.7382, 0.5254, 0.5722], [0.4746, 0.0468, 0.2128], [0.3670, 0.1879, 0.5650], [0.1979, 0.6330, 0.8209], [0.5000, 0.5000, 0.0000], [0.6230, 0.8021, 0.4350], [0.6832, 0.8998, 0.9109], [0.2500, 0.7500, 0.5000], [0.2277, 0.3168, 0.2166], [0.9532, 0.1660, 0.4278], [0.1002, 0.0111, 0.7834]]}